No. 1
4
Lattice="-0.0703 1.7697 -4.1680 -1.6557 -2.4160 -3.4540 -7.2167 2.5153 -1.2798" Properties=species:S:1:pos:R:3 comment="KCd2As (GGA-PBE, relaxed)" spacegroup=Cm magmom_total_mub_per_cell=0.000 pbc="T T T"
K -4.2146 0.8291 -4.4985
Cd -2.2234 -0.4417 -7.5271
Cd -7.1526 1.5847 -6.5933
As -1.5495 0.1851 -2.3558

***

No. 2
4
Lattice="2.8915 0.0000 0.0000 0.0000 4.5567 0.0000 0.0000 0.0000 4.3591" Properties=species:S:1:pos:R:3 comment="Ni2WBr (GGA-PBE, relaxed)" polymorph_energy_mev_per_atom=546 spacegroup=Pmmm e_form_raw_ev_per_atom=0.90 magmom_total_mub_per_cell=0.000 pbc="T T T"
W 1.4457 0.0000 2.1795
Br 0.0000 2.2783 2.1795
Ni 1.4457 2.2783 0.0000
Ni 0.0000 0.0000 0.0000

***

No. 3
4
Lattice="-2.2874 -5.3221 3.5652 3.2871 -4.9582 3.2984 -0.7132 6.6740 -1.1034" Properties=species:S:1:pos:R:3 comment="ZnTe2Ir (GGA-PBE, relaxed)" spacegroup=Immm e_form_raw_ev_per_atom=-0.05 magmom_total_mub_per_cell=0.000 pbc="T T T"
Zn 1.5368 -1.7122 2.8134
Ir -1.2504 -1.8942 2.9468
Te 0.9018 -9.2739 6.1917
Te 0.5977 -6.1466 4.1037

***

No. 4
8
Lattice="-5.8440 -0.9698 3.7760 -1.7830 -5.3861 -4.1428 -2.2374 -5.1804 1.7417" Properties=species:S:1:pos:R:3 comment="ZrSn2C (GGA-PBE, relaxed)" spacegroup=I-42d magmom_total_mub_per_cell=0.000 pbc="T T T"
Zr 0.0000 0.0000 0.0000
Sn -4.6799 -6.6969 0.8394
C -3.8135 -3.1779 -0.1834
Sn -8.2099 -9.0184 1.3148
Zr -5.9474 -4.6640 2.6672
C -3.9169 -6.8722 -1.2922
Sn -2.8689 -4.8597 -1.3816
Sn -3.9701 -2.4974 1.9774

***

no.,E_tot (eV/cell)
1,-8.2
2,-22.6
3,-16.6
4,-46.7